# Zr5Cd

A relaxed Zr5Cd crystal (PBEsol, Alexandria via LeMat-Bulk).

Cell and atoms, written as CIF:
```
data_Zr5Cd
_symmetry_space_group_name_H-M 'P 1'
_symmetry_Int_Tables_number 1
_cell_length_a 5.162
_cell_length_b 3.108
_cell_length_c 16.245
_cell_angle_alpha 90.00
_cell_angle_beta 90.00
_cell_angle_gamma 90.00
loop_
_symmetry_equiv_pos_as_xyz
'x,y,z'
loop_
_atom_site_label
_atom_site_type_symbol
_atom_site_fract_x
_atom_site_fract_y
_atom_site_fract_z
Zr1 Zr 0.000 0.000 0.000
Zr2 Zr 0.000 0.000 0.329
Zr3 Zr 0.000 0.500 0.500
Zr4 Zr 0.000 0.500 0.829
Zr5 Zr 0.500 0.000 0.211
Zr6 Zr 0.500 0.000 0.546
Zr7 Zr 0.500 0.000 0.881
Zr8 Zr 0.500 0.500 0.046
Zr9 Zr 0.500 0.500 0.381
Zr10 Zr 0.500 0.500 0.711
Cd1 Cd 0.000 0.000 0.661
Cd2 Cd 0.000 0.500 0.161
```

Calculated values
For the density of states at the Fermi level, the calculation gives 1.10 states/eV per atom. The distance to the lowest polymorph of the same formula comes out at 42 meV per atom. The formation energy comes out at -0.007 eV/atom. The total energy comes out at -0.5719 Ry/atom.